## Ce2NiAu (GGA-PBE)

Data for Ce2NiAu after structural relaxation.

## Properties
Symmetry = R-3m
Distance to the lowest polymorph of the same formula = 75 meV/atom
Total magnetization = 0.35 μB/atom

abc: 3.9220 3.9220 7.7773
angles: 75.40 75.40 60.00
Each line ends with the local moment (μB).
Element x y z (fractional)
1 Au 0.5000 0.5000 0.5000  0.00
2 Ce 0.2601 0.2601 0.2196  0.61
3 Ni 0.0000 0.0000 0.0000  -0.06
4 Ce 0.7399 0.7399 0.7804  0.61